## La4Nd4Sm3 (PBE)

Data for an optimized crystal structure of La4Nd4Sm3.

## Properties
Energy above the most stable polymorph in this dataset ... 0.0126 eV per atom
Energy relative to the elements ... 0.131 eV per atom

Lattice parameters (Å, degrees): 10.9538 5.8768 12.2339 90.00 90.00 90.00
Last column: nearest neighbours and their distance in Å.
Space group Amm2 (No. 38)
Symmetry-distinct sites (fractional):
La 0.0000 0.0000 0.0000 [2 per cell]  2 Nd 3.14, 2 La 3.27
La 0.2031 0.0000 0.8043 [4 per cell]  2 La 3.27-3.60, 3 Nd 3.42-3.66, 2 Sm 3.59
La 0.5000 0.0000 0.9295 [2 per cell]  3 Nd 3.40-3.46, 2 La 3.60, 4 Sm 3.72
Nd 0.0000 0.0000 0.5915 [2 per cell]  4 La 3.14-3.42
Nd 0.3032 0.0000 0.1504 [4 per cell]  4 La 3.46-3.80, 2 Nd 3.64, 4 Sm 3.70-3.81
Nd 0.5000 0.0000 0.6513 [2 per cell]  2 Sm 3.32, 1 La 3.40, 4 Nd 3.64
Sm 0.0000 0.0000 0.2958 [2 per cell]  5 Nd 3.62-3.86, 7 La 3.62-3.86, 2 Sm 3.74
Sm 0.2931 0.0000 0.4530 [4 per cell]  3 Nd 3.32-3.70, 2 La 3.59